Entry 1:
# MnPAu2 PBE-GGA relaxed
data_MnPAu2
_cell_length_a 3.2169
_cell_length_b 3.2169
_cell_length_c 23.3586
_cell_angle_alpha 90.00
_cell_angle_beta 90.00
_cell_angle_gamma 120.00
_space_group_name_H-M_alt 'R -3 m'
_space_group_IT_number 166
_space_group_name_Hall '-R 3 2"'
loop_
_atom_site_label
_atom_site_type_symbol
_atom_site_fract_x
_atom_site_fract_y
_atom_site_fract_z
Mn1 Mn 0.0000 0.0000 0.0000
P1 P 0.0000 0.0000 0.5000
Au1 Au 0.0000 0.0000 0.2486
# **Density**: 11.42 Mg/m³
# **ΔH_f (0 K)**: 0.250 eV/atom
# **Energy**: -20.13 eV per formula unit
# **Magnetic moment**: 0.981 μB/atom

=====

Entry 2:
# MnP2Au PBE-GGA relaxed
data_MnP2Au
_cell_length_a 4.205
_cell_length_b 3.764
_cell_length_c 4.556
_cell_angle_alpha 90.00
_cell_angle_beta 96.85
_cell_angle_gamma 90.00
_space_group_name_H-M_alt 'P 1 2/m 1'
_space_group_IT_number 10
loop_
_space_group_symop_operation_xyz
'x,y,z'
'-x,-y,-z'
'-x,y,-z'
'x,-y,z'
loop_
_atom_site_label
_atom_site_type_symbol
_atom_site_fract_x
_atom_site_fract_y
_atom_site_fract_z
Mn1 Mn 0.000 0.000 0.000
P1 P 0.312 0.500 0.814
Au1 Au 0.500 0.000 0.500
# **Density**: 7.28 Mg/m³
# **ΔH_f (0 K)**: 0.123 eV/atom
# **Energy**: -22.77 eV per formula unit
# **Magnetic moment**: 1.007 μB/atom

=====

Entry 3:
# MnPAu2 PBE-GGA relaxed
data_MnPAu2
_cell_length_a 7.396
_cell_length_b 7.396
_cell_length_c 5.213
_cell_angle_alpha 90.00
_cell_angle_beta 90.00
_cell_angle_gamma 90.00
_space_group_name_H-M_alt 'I -4 2 d'
_space_group_IT_number 122
_space_group_name_Hall 'I -4 2bw'
loop_
_atom_site_label
_atom_site_type_symbol
_atom_site_fract_x
_atom_site_fract_y
_atom_site_fract_z
Mn1 Mn 0.000 0.000 0.000
P1 P 0.000 0.000 0.500
Au1 Au 0.212 0.250 0.625
# **Density**: 11.18 Mg/m³
# **ΔH_f (0 K)**: 0.193 eV/atom
# **Energy**: -20.36 eV per formula unit
# **Magnetic moment**: 0.941 μB/atom

=====

Among the records above, which one has the highest density?
number 1

=====

The highest magnetic moment belongs to which entry?
MnP2Au

=====

Among the records above, which one has the lowest density?
MnP2Au